# 1
Hf2CoCu (PBE, relaxed); crystal system = tetragonal
1.0
3.168 0.000 0.000
0.000 3.168 0.000
0.000 0.000 6.503
Hf Co Cu
2 1 1
Direct
0.000 0.000 0.239
0.000 0.000 0.761
0.500 0.500 0.000
0.500 0.500 0.500

=====

# 2
Hf5Co4Cu (PBE, relaxed); crystal system = tetragonal
1.0
3.171 0.000 0.000
0.000 3.171 0.000
0.000 0.000 15.903
Hf Co Cu
5 4 1
Direct
0.000 0.000 0.000
0.000 0.000 0.198
0.000 0.000 0.394
0.000 0.000 0.606
0.000 0.000 0.802
0.500 0.500 0.099
0.500 0.500 0.296
0.500 0.500 0.704
0.500 0.500 0.901
0.500 0.500 0.500

=====

# 3
Hf6Co3Cu (PBE, relaxed); crystal system = monoclinic
1.0
6.571 0.000 0.000
0.000 6.395 0.000
-6.055 0.000 8.813
Hf Co Cu
12 6 2
Direct
0.044 0.062 0.249
0.044 0.438 0.749
0.221 0.662 0.077
0.221 0.838 0.577
0.397 0.152 0.073
0.397 0.348 0.573
0.603 0.652 0.427
0.603 0.848 0.927
0.779 0.162 0.423
0.779 0.338 0.923
0.956 0.562 0.251
0.956 0.938 0.751
0.000 0.000 0.000
0.000 0.500 0.500
0.317 0.143 0.766
0.317 0.357 0.266
0.683 0.643 0.734
0.683 0.857 0.234
0.500 0.000 0.500
0.500 0.500 0.000

=====

# 4
Hf2CoCu (PBE, relaxed); crystal system = monoclinic
1.0
5.336 0.000 0.000
0.000 4.134 0.000
-2.607 0.000 6.013
Hf Co Cu
4 2 2
Direct
0.204 0.250 0.424
0.237 0.250 0.914
0.763 0.750 0.086
0.796 0.750 0.576
0.342 0.750 0.705
0.658 0.250 0.295
0.323 0.750 0.204
0.677 0.250 0.796

=====

# 5
Hf5Co2Cu (PBE, relaxed); crystal system = tetragonal
1.0
-3.592 3.592 5.553
3.592 -3.592 5.553
3.592 3.592 -5.553
Hf Co Cu
10 4 2
Direct
0.000 0.000 0.000
0.014 0.514 0.812
0.202 0.014 0.500
0.298 0.798 0.812
0.486 0.298 0.500
0.500 0.500 0.000
0.514 0.702 0.500
0.702 0.202 0.188
0.798 0.986 0.500
0.986 0.486 0.188
0.132 0.368 0.500
0.368 0.868 0.237
0.632 0.132 0.763
0.868 0.632 0.500
0.250 0.250 0.000
0.750 0.750 0.000

=====

# 6
HfCo2Cu (PBE, relaxed); crystal system = tetragonal
1.0
-1.872 1.872 8.445
1.872 -1.872 8.445
1.872 1.872 -8.445
Hf Co Cu
2 4 2
Direct
0.000 0.000 0.000
0.750 0.250 0.500
0.198 0.625 0.073
0.375 0.448 0.573
0.552 0.125 0.927
0.875 0.802 0.427
0.250 0.750 0.500
0.500 0.500 0.000

=====

# 7
HfCoCu (PBE, relaxed); crystal system = orthorhombic
1.0
1.987 -4.415 0.000
1.987 4.415 0.000
0.000 0.000 4.960
Hf Co Cu
2 2 2
Direct
0.205 0.795 0.750
0.795 0.205 0.250
0.099 0.901 0.250
0.901 0.099 0.750
0.500 0.500 0.000
0.500 0.500 0.500

=====

# 8
HfCoCu (PBE, relaxed); crystal system = hexagonal
1.0
4.125 0.000 0.000
-2.062 3.572 0.000
0.000 0.000 3.014
Hf Co Cu
1 1 1
Direct
0.000 0.000 0.000
0.667 0.333 0.500
0.333 0.667 0.500

=====

# 9
Hf4Co3Cu (PBE, relaxed); crystal system = orthorhombic
1.0
3.251 0.000 0.000
0.000 4.141 0.000
0.000 0.000 9.638
Hf Co Cu
4 3 1
Direct
0.000 0.000 0.000
0.000 0.500 0.270
0.500 0.000 0.482
0.500 0.500 0.776
0.000 0.500 0.551
0.500 0.000 0.217
0.500 0.500 0.044
0.000 0.000 0.711

=====

# 10
Hf3CoCu (PBE, relaxed); crystal system = cubic; energy above the most stable polymorph in this dataset = 0.539 eV/atom
1.0
4.734 0.000 0.000
0.000 4.734 0.000
0.000 0.000 4.734
Hf Co Cu
3 1 1
Direct
0.000 0.000 0.500
0.000 0.500 0.000
0.500 0.000 0.000
0.000 0.000 0.000
0.500 0.500 0.500

=====

# 11
Hf6CoCu3 (PBE, relaxed); crystal system = orthorhombic
1.0
7.885 0.000 0.000
0.000 10.192 0.000
0.000 0.000 4.578
Hf Co Cu
12 2 6
Direct
0.007 0.242 0.000
0.163 0.085 0.500
0.176 0.410 0.500
0.324 0.910 0.000
0.337 0.585 0.000
0.493 0.742 0.500
0.507 0.258 0.500
0.663 0.415 0.000
0.676 0.090 0.000
0.824 0.590 0.500
0.837 0.915 0.500
0.993 0.758 0.000
0.000 0.000 0.000
0.500 0.500 0.500
0.000 0.500 0.000
0.156 0.719 0.500
0.344 0.219 0.000
0.500 0.000 0.500
0.656 0.781 0.000
0.844 0.281 0.500

=====

# 12
Hf2CoCu (PBE, relaxed); crystal system = orthorhombic
1.0
-1.441 2.476 5.078
1.441 -2.476 5.078
1.441 2.476 -5.078
Hf Co Cu
2 1 1
Direct
0.236 0.236 0.000
0.764 0.764 0.000
0.000 0.000 0.000
0.500 0.500 0.000

=====

# 13
HfCo2Cu2 (PBE, relaxed); crystal system = tetragonal; energy above the most stable polymorph in this dataset = 0.089 eV/atom
1.0
6.797 0.000 0.000
0.000 6.797 0.000
0.000 0.000 2.872
Hf Co Cu
2 4 4
Direct
0.000 0.000 0.000
0.500 0.500 0.000
0.171 0.329 0.500
0.329 0.829 0.500
0.671 0.171 0.500
0.829 0.671 0.500
0.125 0.625 0.000
0.375 0.125 0.000
0.625 0.875 0.000
0.875 0.375 0.000

=====

# 14
Hf6CoCu (PBE, relaxed); crystal system = monoclinic; energy above the most stable polymorph in this dataset = 0.341 eV/atom
1.0
2.988 -5.192 0.000
2.988 5.192 0.000
-2.614 0.000 5.331
Hf Co Cu
6 1 1
Direct
0.042 0.437 0.248
0.244 0.244 0.755
0.437 0.042 0.248
0.563 0.958 0.752
0.756 0.756 0.245
0.958 0.563 0.752
0.000 0.000 0.000
0.500 0.500 0.500

=====

# 15
HfCoCu (PBE, relaxed); crystal system = tetragonal
1.0
-1.626 1.626 4.144
1.626 -1.626 4.144
1.626 1.626 -4.144
Hf Co Cu
1 1 1
Direct
0.000 0.000 0.000
0.340 0.340 0.000
0.679 0.679 0.000

=====

# 16
HfCo2Cu (PBE, relaxed); crystal system = tetragonal
1.0
3.849 0.000 0.000
0.000 3.849 0.000
0.000 0.000 3.537
Hf Co Cu
1 2 1
Direct
0.000 0.000 0.000
0.000 0.500 0.500
0.500 0.000 0.500
0.500 0.500 0.000

=====

# 17
HfCoCu3 (PBE, relaxed); crystal system = cubic; energy above the most stable polymorph in this dataset = 0.000 eV/atom
1.0
4.333 0.000 0.000
0.000 4.333 0.000
0.000 0.000 4.333
Hf Co Cu
1 1 3
Direct
0.000 0.000 0.000
0.500 0.500 0.500
0.000 0.500 0.500
0.500 0.000 0.500
0.500 0.500 0.000

=====

# 18
HfCoCu (PBE, relaxed); crystal system = orthorhombic
1.0
0.000 4.843 7.999
2.398 0.000 7.999
2.398 4.843 0.000
Hf Co Cu
4 4 4
Direct
0.026 0.724 0.026
0.276 0.974 0.276
0.724 0.026 0.724
0.974 0.276 0.974
0.003 0.003 0.747
0.253 0.253 0.997
0.747 0.747 0.003
0.997 0.997 0.253
0.289 0.289 0.461
0.461 0.461 0.289
0.539 0.539 0.711
0.711 0.711 0.539

=====

# 19
Hf3Co8Cu (PBE, relaxed); crystal system = trigonal
1.0
2.405 1.389 7.861
-2.405 1.389 7.861
0.000 -2.777 7.861
Hf Co Cu
3 8 1
Direct
0.000 0.000 0.000
0.130 0.130 0.130
0.515 0.515 0.515
0.067 0.569 0.569
0.070 0.070 0.567
0.070 0.567 0.070
0.318 0.318 0.318
0.567 0.070 0.070
0.569 0.067 0.569
0.569 0.569 0.067
0.819 0.819 0.819
0.635 0.635 0.635

=====

# 20
HfCoCu (PBE, relaxed); crystal system = monoclinic
1.0
4.384 -2.045 0.000
4.384 2.045 0.000
-1.087 0.000 5.125
Hf Co Cu
2 2 2
Direct
0.114 0.114 0.319
0.886 0.886 0.681
0.408 0.408 0.314
0.592 0.592 0.686
0.225 0.225 0.867
0.775 0.775 0.133

=====

# 21
Hf6Co2Cu (PBE, relaxed); crystal system = orthorhombic; energy above the most stable polymorph in this dataset = 0.000 eV/atom
1.0
-4.134 4.250 4.781
4.134 -4.250 4.781
4.134 4.250 -4.781
Hf Co Cu
12 4 2
Direct
0.035 0.230 0.805
0.186 0.298 0.484
0.186 0.702 0.888
0.329 0.026 0.697
0.329 0.632 0.303
0.426 0.230 0.195
0.574 0.770 0.805
0.671 0.368 0.697
0.671 0.974 0.303
0.814 0.298 0.112
0.814 0.702 0.516
0.965 0.770 0.195
0.131 0.631 0.500
0.339 0.000 0.339
0.661 0.000 0.661
0.869 0.369 0.500
0.000 0.000 0.000
0.500 0.500 0.000

=====

# 22
HfCoCu2 (PBE, relaxed); crystal system = tetragonal
1.0
-1.770 1.770 9.366
1.770 -1.770 9.366
1.770 1.770 -9.366
Hf Co Cu
2 2 4
Direct
0.000 0.000 0.000
0.750 0.250 0.500
0.250 0.750 0.500
0.500 0.500 0.000
0.150 0.625 0.025
0.375 0.400 0.525
0.600 0.125 0.975
0.875 0.850 0.475

=====

# 23
HfCo2Cu2 (PBE, relaxed); crystal system = tetragonal; energy above the most stable polymorph in this dataset = 0.052 eV/atom
1.0
6.795 0.000 0.000
0.000 6.795 0.000
0.000 0.000 2.871
Hf Co Cu
2 4 4
Direct
0.000 0.000 0.000
0.500 0.500 0.000
0.125 0.375 0.000
0.375 0.875 0.000
0.625 0.125 0.000
0.875 0.625 0.000
0.168 0.668 0.500
0.332 0.168 0.500
0.668 0.832 0.500
0.832 0.332 0.500

=====

no.,energy of formation (meV/atom)
1,-256
2,-338
3,-58
4,-306
5,-220
6,267
7,-297
8,-98
9,-359
10,376
11,-9
12,706
13,111
14,215
15,-208
16,-218
17,715
18,76
19,-283
20,-96
21,-202
22,139
23,74